Density functional theory data (GGA-PBE) for an optimized crystal structure of Tl3Fe2AgCl9.

Geometry as CIF:
```
data_Tl3Fe2AgCl9
_chemical_formula_sum 'Tl3 Fe2 Ag1 Cl9'
_symmetry_space_group_name_H-M 'P -3 m 1'
_symmetry_Int_Tables_number 164
_symmetry_space_group_name_Hall '-P 3 2"'
_cell_length_a 7.1098
_cell_length_b 7.1098
_cell_length_c 8.9239
_cell_angle_alpha 90.00
_cell_angle_beta 90.00
_cell_angle_gamma 120.00
loop_
_atom_site_label
_atom_site_type_symbol
_atom_site_fract_x
_atom_site_fract_y
_atom_site_fract_z
_atom_site_occupancy
Tl1 Tl 0.0000 0.0000 0.0000 1
Tl2 Tl 0.3333 0.6667 0.6919 1
Fe1 Fe 0.3333 0.6667 0.1719 1
Ag1 Ag 0.0000 0.0000 0.5000 1
Cl1 Cl 0.0000 0.5000 0.0000 1
Cl2 Cl 0.1722 0.3444 0.3130 1
```

Calculated values
The uncorrected formation energy is -0.793 eV per atom.